[1]
Below is ZrZnCoAg after structural relaxation, with properties calculated at the GGA-PBE level.

The structure in CIF format:
```
data_ZrZnCoAg
_cell_length_a 6.373
_cell_length_b 6.373
_cell_length_c 6.373
_cell_angle_alpha 90.00
_cell_angle_beta 90.00
_cell_angle_gamma 90.00
_space_group_name_H-M_alt 'F -4 3 m'
_space_group_IT_number 216
_space_group_name_Hall 'F -4 2 3'
loop_
_atom_site_label
_atom_site_type_symbol
_atom_site_fract_x
_atom_site_fract_y
_atom_site_fract_z
_atom_site_occupancy
Zr1 Zr 0.000 0.000 0.000 1
Zn1 Zn 0.000 0.000 0.500 1
Co1 Co 0.250 0.250 0.750 1
Ag1 Ag 0.250 0.250 0.250 1
```

- DFT formation energy: -36.0 meV/atom

=====

[2]
Below is Cu2Ag3 after structural relaxation, with properties calculated at the GGA-PBE level.

The structure in CIF format:
```
data_Cu2Ag3
_cell_length_a 2.875
_cell_length_b 2.875
_cell_length_c 18.744
_cell_angle_alpha 90.00
_cell_angle_beta 90.00
_cell_angle_gamma 90.00
_space_group_name_H-M_alt 'P 4 m m'
_space_group_IT_number 99
_space_group_name_Hall 'P 4 -2'
loop_
_atom_site_label
_atom_site_type_symbol
_atom_site_fract_x
_atom_site_fract_y
_atom_site_fract_z
_atom_site_occupancy
Cu1 Cu 0.000 0.000 0.000 1
Cu2 Cu 0.000 0.000 0.154 1
Cu3 Cu 0.000 0.000 0.805 1
Cu4 Cu 0.500 0.500 0.077 1
Ag1 Ag 0.000 0.000 0.366 1
Ag2 Ag 0.000 0.000 0.594 1
Ag3 Ag 0.500 0.500 0.252 1
Ag4 Ag 0.500 0.500 0.481 1
Ag5 Ag 0.500 0.500 0.708 1
Ag6 Ag 0.500 0.500 0.902 1
```

- DFT formation energy: 49.7 meV/atom

=====

[3]
Below is ZrAgNO after structural relaxation, with properties calculated at the GGA-PBE level.

The structure in CIF format:
```
data_ZrAgNO
_cell_length_a 3.684
_cell_length_b 5.996
_cell_length_c 5.696
_cell_angle_alpha 90.00
_cell_angle_beta 90.00
_cell_angle_gamma 90.00
_space_group_name_H-M_alt 'P m c 21'
_space_group_IT_number 26
_space_group_name_Hall 'P 2c -2'
loop_
_atom_site_label
_atom_site_type_symbol
_atom_site_fract_x
_atom_site_fract_y
_atom_site_fract_z
_atom_site_occupancy
Zr1 Zr 0.000 0.185 0.000 1
Ag1 Ag 0.500 0.280 0.499 1
N1 N 0.000 0.122 0.352 1
O1 O 0.500 0.326 0.925 1
```

- Uncorrected energy: -58.95 eV/cell

=====

[4]
Below is TlAuNO after structural relaxation, with properties calculated at the GGA-PBE level.

The structure in CIF format:
```
data_TlAuNO
_cell_length_a 4.803
_cell_length_b 4.803
_cell_length_c 4.810
_cell_angle_alpha 90.00
_cell_angle_beta 90.00
_cell_angle_gamma 90.00
_space_group_name_H-M_alt 'P 4/n m m'
_space_group_IT_number 129
loop_
_space_group_symop_operation_xyz
'x,y,z'
'-x,-y,-z'
'-y+1/2,x,z'
'y+1/2,-x,-z'
'-x+1/2,-y+1/2,z'
'x+1/2,y+1/2,-z'
'y,-x+1/2,z'
'-y,x+1/2,-z'
'x+1/2,-y,-z'
'-x+1/2,y,z'
'-y,-x,-z'
'y,x,z'
'-x,y+1/2,-z'
'x,-y+1/2,z'
'y+1/2,x+1/2,-z'
'-y+1/2,-x+1/2,z'
loop_
_atom_site_label
_atom_site_type_symbol
_atom_site_fract_x
_atom_site_fract_y
_atom_site_fract_z
_atom_site_occupancy
Tl1 Tl 0.250 0.750 0.000 1
Au1 Au 0.250 0.250 0.499 1
N1 N 0.250 0.250 0.998 1
O1 O 0.250 0.750 0.500 1
```

- Uncorrected energy: -32.39 eV/cell

=====

[5]
Below is LiZnPd2 after structural relaxation, with properties calculated at the GGA-PBE level.

The structure in CIF format:
```
data_LiZnPd2
_cell_length_a 4.2759
_cell_length_b 4.2759
_cell_length_c 7.8402
_cell_angle_alpha 90.00
_cell_angle_beta 90.00
_cell_angle_gamma 120.00
_space_group_name_H-M_alt 'P 63/m m c'
_space_group_IT_number 194
_space_group_name_Hall '-P 6c 2c'
loop_
_atom_site_label
_atom_site_type_symbol
_atom_site_fract_x
_atom_site_fract_y
_atom_site_fract_z
_atom_site_occupancy
Li1 Li 0.0000 0.0000 0.0000 1
Zn1 Zn 0.3333 0.6667 0.2500 1
Pd1 Pd 0.3333 0.6667 0.5834 1
```

- Uncorrected energy: -30.18 eV/cell

=====

[6]
Below is SiAg2HgSe2S2 after structural relaxation, with properties calculated at the GGA-PBE level.

The structure in CIF format:
```
data_SiAg2HgSe2S2
_cell_length_a 13.128
_cell_length_b 5.789
_cell_length_c 5.802
_cell_angle_alpha 90.00
_cell_angle_beta 116.11
_cell_angle_gamma 90.00
_space_group_name_H-M_alt 'C 1 2 1'
_space_group_IT_number 5
_space_group_name_Hall 'C 2y'
loop_
_atom_site_label
_atom_site_type_symbol
_atom_site_fract_x
_atom_site_fract_y
_atom_site_fract_z
_atom_site_occupancy
Si1 Si 0.000 0.000 0.000 1
Ag1 Ag 0.250 0.483 0.215 1
Hg1 Hg 0.000 0.499 0.500 1
Se1 Se 0.123 0.771 0.337 1
S1 S 0.108 0.205 0.890 1
```

- Uncorrected energy: -57.89 eV/cell

=====

[7]
Below is SnIr2W after structural relaxation, with properties calculated at the GGA-PBE level.

The structure in CIF format:
```
data_SnIr2W
_cell_length_a 6.400
_cell_length_b 6.400
_cell_length_c 6.400
_cell_angle_alpha 90.00
_cell_angle_beta 90.00
_cell_angle_gamma 90.00
_space_group_name_H-M_alt 'F -4 3 m'
_space_group_IT_number 216
_space_group_name_Hall 'F -4 2 3'
loop_
_atom_site_label
_atom_site_type_symbol
_atom_site_fract_x
_atom_site_fract_y
_atom_site_fract_z
_atom_site_occupancy
Sn1 Sn 0.000 0.000 0.000 1
Ir1 Ir 0.000 0.000 0.500 1
Ir2 Ir 0.250 0.250 0.750 1
W1 W 0.250 0.250 0.250 1
```

- Uncorrected energy: -133.63 eV/cell

=====

[8]
Below is KZrIrSe3 after structural relaxation, with properties calculated at the GGA-PBE level.

The structure in CIF format:
```
data_KZrIrSe3
_cell_length_a 3.730
_cell_length_b 16.002
_cell_length_c 9.926
_cell_angle_alpha 90.00
_cell_angle_beta 90.00
_cell_angle_gamma 90.00
_space_group_name_H-M_alt 'C m c m'
_space_group_IT_number 63
_space_group_name_Hall '-C 2c 2'
loop_
_atom_site_label
_atom_site_type_symbol
_atom_site_fract_x
_atom_site_fract_y
_atom_site_fract_z
_atom_site_occupancy
K1 K 0.000 0.245 0.250 1
Zr1 Zr 0.000 0.000 0.000 1
Ir1 Ir 0.000 0.481 0.750 1
Se1 Se 0.000 0.080 0.750 1
Se2 Se 0.000 0.377 0.562 1
```

- Uncorrected energy: -138.31 eV/cell